Compound: SrAg3Au8
Source: Alexandria
Functional: GGA-PBE
Structure: optimized geometry

Unit cell a=9.817 b=9.817 c=9.817 alpha=32.71 beta=32.71 gamma=32.71
Fractional positions:
Sr 0.000 0.000 0.000
Ag 0.131 0.131 0.131
Ag 0.497 0.497 0.497
Ag 0.608 0.608 0.608
Au 0.063 0.063 0.560
Au 0.063 0.560 0.063
Au 0.067 0.565 0.565
Au 0.313 0.313 0.313
Au 0.560 0.063 0.063
Au 0.565 0.067 0.565
Au 0.565 0.565 0.067
Au 0.814 0.814 0.814

Computed properties:
Formation energy from the elements ... -2.21 eV per formula unit
Calculated density ... 13.422 g/cm³
Symmetry ... R3m
V ... 245.8 Å³ per cell
Crystal system ... trigonal
Total magnetic moment ... 0.00 μB per cell



Compound: SrAg5Au2
Source: Alexandria
Functional: GGA-PBE
Structure: optimized geometry

Unit cell a=4.271 b=8.140 c=10.187 alpha=90.00 beta=90.00 gamma=90.00
Fractional positions:
Sr 0.000 0.000 0.000
Sr 0.500 0.500 0.500
Ag 0.000 0.179 0.356
Ag 0.000 0.179 0.644
Ag 0.000 0.500 0.000
Ag 0.000 0.821 0.356
Ag 0.000 0.821 0.644
Ag 0.500 0.000 0.500
Ag 0.500 0.321 0.144
Ag 0.500 0.321 0.856
Ag 0.500 0.679 0.144
Ag 0.500 0.679 0.856
Au 0.000 0.500 0.272
Au 0.000 0.500 0.728
Au 0.500 0.000 0.228
Au 0.500 0.000 0.772

Computed properties:
Formation energy from the elements ... -1.22 eV per formula unit
Calculated density ... 9.573 g/cm³
Symmetry ... Immm
V ... 354.2 Å³ per cell
Crystal system ... orthorhombic
Total magnetic moment ... 0.00 μB per cell



Compound: SrAg8Au4
Source: Alexandria
Functional: GGA-PBE
Structure: optimized geometry

Unit cell a=7.414 b=7.414 c=7.414 alpha=97.95 beta=97.95 gamma=136.34
Fractional positions:
Sr 0.000 0.000 0.000
Ag 0.000 0.355 0.355
Ag 0.000 0.645 0.645
Ag 0.281 0.500 0.781
Ag 0.355 0.000 0.355
Ag 0.500 0.281 0.781
Ag 0.500 0.719 0.219
Ag 0.645 0.000 0.645
Ag 0.719 0.500 0.219
Au 0.000 0.000 0.500
Au 0.000 0.500 0.000
Au 0.500 0.000 0.000
Au 0.500 0.500 0.500

Computed properties:
Formation energy from the elements ... -1.90 eV per formula unit
Calculated density ... 11.052 g/cm³
Symmetry ... I4/mmm
V ... 261.2 Å³ per cell
Crystal system ... tetragonal
Total magnetic moment ... 0.00 μB per cell